First-principles (PBEsol) data for Mn24Ru5 after structural relaxation, as listed in Alexandria.

## Properties
- uncorrected energy (Ry per atom) = -0.7232
- density of states at the Fermi level (states/eV per atom) = 0.936
- total magnetic moment (Bohr magnetons per cell) = 0.0
- formation energy from the elements (eV/atom) = -0.007
- space-group type = I-43m, No. 217

Unit cell a=7.4240 b=7.4240 c=7.4240 alpha=109.47 beta=109.47 gamma=109.47
Sites, in units of the cell vectors:
1 Mn 0.0000 0.3243 0.6098
2 Mn 0.0000 0.6098 0.3243
3 Mn 0.0000 0.6274 0.8067
4 Mn 0.0000 0.8067 0.6274
5 Mn 0.1792 0.3726 0.3726
6 Mn 0.1933 0.1933 0.8208
7 Mn 0.1933 0.8208 0.1933
8 Mn 0.2855 0.6757 0.6757
9 Mn 0.3243 0.0000 0.6098
10 Mn 0.3243 0.6098 0.0000
11 Mn 0.3726 0.1792 0.3726
12 Mn 0.3726 0.3726 0.1792
13 Mn 0.3902 0.3902 0.7145
14 Mn 0.3902 0.7145 0.3902
15 Mn 0.6098 0.0000 0.3243
16 Mn 0.6098 0.3243 0.0000
17 Mn 0.6274 0.0000 0.8067
18 Mn 0.6274 0.8067 0.0000
19 Mn 0.6757 0.2855 0.6757
20 Mn 0.6757 0.6757 0.2855
21 Mn 0.7145 0.3902 0.3902
22 Mn 0.8067 0.0000 0.6274
23 Mn 0.8067 0.6274 0.0000
24 Mn 0.8208 0.1933 0.1933
25 Ru 0.0000 0.0000 0.0000
26 Ru 0.0000 0.0000 0.3666
27 Ru 0.0000 0.3666 0.0000
28 Ru 0.3666 0.0000 0.0000
29 Ru 0.6334 0.6334 0.6334